# 1
VASP calculation (PBE) on a geometry-optimized LaTb4Nd8 structure.

Calculated values
formation enthalpy at 0 K	2.09	eV/f.u.
space-group type	R-3m, No. 166

Lattice parameters (Å, degrees): 7.450 7.450 10.322 90.00 111.16 120.00
Positions (direct):
La 0.000 0.500 0.500
Tb 0.000 0.000 0.000
Tb 0.000 0.500 0.000
Tb 0.500 0.500 0.000
Tb 0.500 0.000 0.000
Nd 0.563 0.781 0.344
Nd 0.437 0.219 0.656
Nd 0.500 0.250 0.300
Nd 0.950 0.200 0.700
Nd 0.500 0.750 0.700
Nd 0.950 0.750 0.700
Nd 0.050 0.250 0.300
Nd 0.050 0.800 0.300

=====

# 2
VASP calculation (PBE) on a geometry-optimized SbPbCl4 structure.

Calculated values
E_form (uncorrected)	6.06	kcal/mol of atoms
space-group type	F-43m, No. 216

Lattice parameters (Å, degrees): 5.971 5.971 5.971 60.00 60.00 60.00
Site moments in Bohr magnetons follow the coordinates.
Positions (direct):
Sb 0.000 0.000 0.000  -0.02
Pb 0.750 0.750 0.750  0.00
Cl 0.876 0.375 0.375  0.25
Cl 0.375 0.375 0.876  0.25
Cl 0.375 0.876 0.375  0.25
Cl 0.375 0.375 0.375  0.25

=====

# 3
VASP calculation (PBE) on a geometry-optimized Ti2Nb6Os structure.

Calculated values
energy above the lowest structure with this stoichiometry	0	kJ/mol of formula units
formation enthalpy at 0 K	-1.20	eV/f.u.
space-group type	C2/m, No. 12

Lattice parameters (Å, degrees): 4.659 5.338 7.228 68.07 108.81 89.95
Positions (direct):
Ti 0.893 0.683 0.787
Ti 0.107 0.317 0.213
Nb 0.667 0.002 0.333
Nb 0.333 0.998 0.667
Nb 0.220 0.674 0.441
Nb 0.447 0.327 0.894
Nb 0.553 0.673 0.106
Nb 0.780 0.326 0.559
Os 0.000 0.000 0.000

=====

| no. | size of the total moment (μB/cell) | mass density (g/cm³) |
| --- | --- | --- |
| 1 | 0.00 | 7.10 |
| 2 | 1.16 | 5.19 |
| 3 | 0.00 | 8.96 |